(1)
Below is Sm8Cd2In after structural relaxation, with properties calculated at the PBE level.

a = 8.746 Å, b = 8.746 Å, c = 8.700 Å
α = 119.13°, β = 119.13°, γ = 36.17°
Element x y z (fractional)
Sm: 0.069 0.069 0.221
Sm: 0.138 0.138 0.688
Sm: 0.319 0.319 0.550
Sm: 0.408 0.408 0.050
Sm: 0.592 0.592 0.950
Sm: 0.681 0.681 0.450
Sm: 0.862 0.862 0.312
Sm: 0.931 0.931 0.779
Cd: 0.227 0.227 0.117
Cd: 0.773 0.773 0.883
In: 0.500 0.500 0.500

Summary:
- E_tot (eV per atom) = -4.044
- calculated volume (Å³/cell) = 337.42

(2)
Below is HfInCuSe3 after structural relaxation, with properties calculated at the PBE level.

a = 8.800 Å, b = 3.849 Å, c = 9.412 Å
α = 90.00°, β = 111.05°, γ = 90.00°
Element x y z (fractional)
Hf: 0.187 0.250 0.165
Hf: 0.813 0.750 0.835
In: 0.284 0.750 0.744
In: 0.716 0.250 0.256
Cu: 0.419 0.750 0.400
Cu: 0.581 0.250 0.600
Se: 0.037 0.250 0.851
Se: 0.274 0.250 0.462
Se: 0.385 0.750 0.131
Se: 0.615 0.250 0.869
Se: 0.726 0.750 0.538
Se: 0.963 0.750 0.149

Summary:
- E_tot (eV per atom) = -5.348
- ΔE_f (raw) (eV per atom) = -0.8076
- calculated volume (Å³/cell) = 297.51

(3)
Below is MnZn2Fe after structural relaxation, with properties calculated at the PBE level.

a = 2.677 Å, b = 4.287 Å, c = 4.557 Å
α = 90.00°, β = 90.00°, γ = 90.00°
Element x y z (fractional)
Mn: 0.000 0.000 0.000
Zn: 0.500 0.000 0.491
Zn: 0.500 0.500 0.830
Fe: 0.000 0.500 0.322

Summary:
- E_tot (eV per atom) = -4.993
- ΔE to the lowest computed polymorph (eV/atom) = 0.037
- calculated volume (Å³/cell) = 52.29

> Which of these has the lowest calculated volume?

MnZn2Fe

> Which of these has the lowest calculated volume?

MnZn2Fe

> Which of these has the highest E_tot?

Sm8Cd2In